No. 1
A relaxed structure of TiTcI2N, computed with PBE.

a b c (Å): 5.5406 5.5406 3.7391
angles (deg): 90.00 90.00 90.00
With the nearest neighbours (Å) after each atom.
Sites, in units of the cell vectors:
Tc  0.0000  0.0000  0.0000  2 N 1.87
I  0.0000  0.5000  0.0000  2 Tc 2.77
I  0.5000  0.0000  0.0000  2 Tc 2.77
N  0.0000  0.0000  0.5000  2 Tc 1.87
Ti  0.5000  0.5000  0.5000  8 I 3.34, 2 Ti 3.74

Summary:
Space group = No. 123
Distance to the lowest polymorph of the same formula = 14 kJ/mol of formula units



No. 2
A relaxed structure of TiTcIN2, computed with PBE.

a b c (Å): 3.9137 3.9137 5.5469
angles (deg): 90.00 90.00 90.00
With the nearest neighbours (Å) after each atom.
Sites, in units of the cell vectors:
I  0.0000  0.0000  0.5000  4 Ti 2.77, 2 Tc 2.77
Ti  0.5000  0.5000  0.5000  4 I 2.77
N  0.5000  0.0000  0.0000  2 Tc 1.96
Tc  0.0000  0.0000  0.0000  4 N 1.96
N  0.0000  0.5000  0.0000  2 Tc 1.96

Summary:
Space group = No. 123
Distance to the lowest polymorph of the same formula = 0 kJ/mol of formula units



No. 3
A relaxed structure of TiTcI2N, computed with PBE.

a b c (Å): 5.7018 5.7018 3.7388
angles (deg): 90.00 90.00 90.00
With the nearest neighbours (Å) after each atom.
Sites, in units of the cell vectors:
Tc  0.5000  0.5000  0.5000  8 I 3.41, 2 Tc 3.74
N  0.0000  0.0000  0.5000  2 Ti 1.87
Ti  0.0000  0.0000  0.0000  2 N 1.87
I  0.0000  0.5000  0.0000  2 Ti 2.85
I  0.5000  0.0000  0.0000  2 Ti 2.85

Summary:
Space group = No. 123
Distance to the lowest polymorph of the same formula = 0 kJ/mol of formula units



No. 4
A relaxed structure of TiTcIN2, computed with PBE.

a b c (Å): 3.9539 3.9539 5.7840
angles (deg): 90.00 90.00 90.00
With the nearest neighbours (Å) after each atom.
Sites, in units of the cell vectors:
N  0.0000  0.5000  0.0000  2 Ti 1.98
Ti  0.0000  0.0000  0.0000  4 N 1.98
N  0.5000  0.0000  0.0000  2 Ti 1.98
Tc  0.5000  0.5000  0.5000  4 I 2.80
I  0.0000  0.0000  0.5000  4 Tc 2.80, 2 Ti 2.89

Summary:
Space group = No. 123
Distance to the lowest polymorph of the same formula = 32 kJ/mol of formula units



No. 5
A relaxed structure of VTcIN2, computed with PBE.

a b c (Å): 3.8556 3.8556 5.6208
angles (deg): 90.00 90.00 90.00
With the nearest neighbours (Å) after each atom.
Sites, in units of the cell vectors:
Tc  0.5000  0.5000  0.5000  4 I 2.73
I  0.0000  0.0000  0.5000  4 Tc 2.73, 2 V 2.81
N  0.0000  0.5000  0.0000  2 V 1.93
N  0.5000  0.0000  0.0000  2 V 1.93
V  0.0000  0.0000  0.0000  4 N 1.93

Summary:
Space group = No. 123
Distance to the lowest polymorph of the same formula = 0 kJ/mol of formula units



No. 6
A relaxed structure of VTcIN2, computed with PBE.

a b c (Å): 3.8874 3.8874 5.6752
angles (deg): 90.00 90.00 90.00
With the nearest neighbours (Å) after each atom.
Sites, in units of the cell vectors:
N  0.5000  0.0000  0.0000  2 Tc 1.94
Tc  0.0000  0.0000  0.0000  4 N 1.94
I  0.0000  0.0000  0.5000  4 V 2.75, 2 Tc 2.84
N  0.0000  0.5000  0.0000  2 Tc 1.94
V  0.5000  0.5000  0.5000  4 I 2.75

Summary:
Space group = No. 123
Distance to the lowest polymorph of the same formula = 39 kJ/mol of formula units



No. 7
A relaxed structure of TcWI2N, computed with PBE.

a b c (Å): 5.5081 5.5081 3.7139
angles (deg): 90.00 90.00 90.00
With the nearest neighbours (Å) after each atom.
Sites, in units of the cell vectors:
W  0.5000  0.5000  0.5000  8 I 3.32, 2 W 3.71
N  0.0000  0.0000  0.5000  2 Tc 1.86
I  0.5000  0.0000  0.0000  2 Tc 2.75
Tc  0.0000  0.0000  0.0000  2 N 1.86
I  0.0000  0.5000  0.0000  2 Tc 2.75

Summary:
Space group = No. 123
Distance to the lowest polymorph of the same formula = 108 kJ/mol of formula units



No. 8
A relaxed structure of TcWI2N, computed with PBE.

a b c (Å): 5.6634 5.6634 3.8254
angles (deg): 90.00 90.00 90.00
With the nearest neighbours (Å) after each atom.
Sites, in units of the cell vectors:
I  0.5000  0.0000  0.0000  2 W 2.83
W  0.0000  0.0000  0.0000  2 N 1.91
Tc  0.5000  0.5000  0.5000  8 I 3.42, 2 Tc 3.83
I  0.0000  0.5000  0.0000  2 W 2.83
N  0.0000  0.0000  0.5000  2 W 1.91

Summary:
Space group = No. 123
Distance to the lowest polymorph of the same formula = 0 kJ/mol of formula units



No. 9
A relaxed structure of ZrTcI2N, computed with PBE.

a b c (Å): 5.5488 5.5488 3.7261
angles (deg): 90.00 90.00 90.00
With the nearest neighbours (Å) after each atom.
Sites, in units of the cell vectors:
I  0.5000  0.0000  0.0000  2 Tc 2.77
N  0.0000  0.0000  0.5000  2 Tc 1.86
Tc  0.0000  0.0000  0.0000  2 N 1.86
Zr  0.5000  0.5000  0.5000  8 I 3.34, 2 Zr 3.73
I  0.0000  0.5000  0.0000  2 Tc 2.77

Summary:
Space group = No. 123
Distance to the lowest polymorph of the same formula = 0 kJ/mol of formula units



No. 10
A relaxed structure of ZrTcI2N, computed with PBE.

a b c (Å): 5.9270 5.9270 3.9886
angles (deg): 90.00 90.00 90.00
With the nearest neighbours (Å) after each atom.
Sites, in units of the cell vectors:
I  0.5000  0.0000  0.0000  2 Zr 2.96
N  0.0000  0.0000  0.5000  2 Zr 1.99
Zr  0.0000  0.0000  0.0000  2 N 1.99
I  0.0000  0.5000  0.0000  2 Zr 2.96
Tc  0.5000  0.5000  0.5000  8 I 3.57, 2 Tc 3.99

Summary:
Space group = No. 123
Distance to the lowest polymorph of the same formula = 49 kJ/mol of formula units



No. 11
A relaxed structure of Te2IN, computed with PBE.

a b c (Å): 5.1161 5.1161 5.1161
angles (deg): 60.00 60.00 60.00
With the nearest neighbours (Å) after each atom.
Sites, in units of the cell vectors:
I  0.5000  0.5000  0.5000  8 Te 3.13
Te  0.7500  0.7500  0.7500  4 N 3.13, 4 I 3.13
Te  0.2500  0.2500  0.2500  4 I 3.13, 4 N 3.13
N  0.0000  0.0000  0.0000  8 Te 3.13

Summary:
Space group = No. 225
Distance to the lowest polymorph of the same formula = 377 kJ/mol of formula units



No. 12
A relaxed structure of Te2IN, computed with PBE.

a b c (Å): 8.4537 8.4537 8.4537
angles (deg): 25.06 25.06 25.06
With the nearest neighbours (Å) after each atom.
Sites, in units of the cell vectors:
Te  0.2267  0.2267  0.2267  3 N 2.58
Te  0.7733  0.7733  0.7733  3 N 2.58
I  0.0000  0.0000  0.0000  6 Te 3.37, 6 I 3.67
N  0.5000  0.5000  0.5000  6 Te 2.58

Summary:
Space group = No. 166
Distance to the lowest polymorph of the same formula = 108 kJ/mol of formula units



Number 1: uncorrected formation energy 0.602 eV per atom, magnetization 0.45 μB/cell. Number 2: uncorrected formation energy 0.871 eV per atom, magnetization 0.13 μB/cell. Number 3: uncorrected formation energy 0.573 eV per atom, magnetization 4.03 μB/cell. Number 4: uncorrected formation energy 0.938 eV per atom, magnetization 3.50 μB/cell. Number 5: uncorrected formation energy 1.076 eV per atom, magnetization 3.21 μB/cell. Number 6: uncorrected formation energy 1.158 eV per atom, magnetization 0.52 μB/cell. Number 7: uncorrected formation energy 1.323 eV per atom, magnetization 3.59 μB/cell. Number 8: uncorrected formation energy 1.100 eV per atom, magnetization 5.24 μB/cell. Number 9: uncorrected formation energy 0.513 eV per atom, magnetization 0.00 μB/cell. Number 10: uncorrected formation energy 0.615 eV per atom, magnetization 4.18 μB/cell. Number 11: uncorrected formation energy 1.667 eV per atom, magnetization 0.00 μB/cell. Number 12: uncorrected formation energy 0.971 eV per atom, magnetization 0.00 μB/cell.